[1]
Below is a relaxed CsMnHg2Pb crystal, with properties calculated at the PBE level.

## Properties
Magnetic moment = 2.40 μB per cell
Fermi-level density of states = 2.7 states/eV/cell
Space group = No. 123
Energy relative to the elements = 0.10 eV per atom

Cell: 5.5128 5.2743 5.5128 Å, 90.00 90.00 90.00°
Closest atoms and distances in Å follow each position.
Sites, in units of the cell vectors:
Cs (0.5000, 0.5000, 0.5000)  8 Hg 3.81, 4 Pb 3.90
Hg (0.0000, 0.0000, 0.5000)  2 Mn 2.76
Hg (0.5000, 0.0000, 0.0000)  2 Mn 2.76
Pb (0.0000, 0.5000, 0.0000)  2 Mn 2.64
Mn (0.0000, 0.0000, 0.0000)  2 Pb 2.64, 4 Hg 2.76

[2]
Below is a relaxed CsMnHgPd2 crystal, with properties calculated at the PBE level.

## Properties
Magnetic moment = 4.83 μB per cell
Fermi-level density of states = 3.4 states/eV/cell
Space group = No. 123
Energy relative to the elements = 1.43 eV per atom

Cell: 5.3350 5.3350 6.4832 Å, 90.00 90.00 90.00°
Closest atoms and distances in Å follow each position.
Sites, in units of the cell vectors:
Cs (0.0000, 0.0000, 0.0000)  4 Pd 2.67
Pd (0.5000, 0.0000, 0.0000)  2 Cs 2.67
Pd (0.0000, 0.5000, 0.0000)  2 Cs 2.67
Hg (0.0000, 0.0000, 0.5000)  2 Cs 3.24
Mn (0.5000, 0.5000, 0.5000)  4 Hg 3.77, 8 Pd 4.20

[3]
Below is a relaxed CsMnHg2Sb crystal, with properties calculated at the PBE level.

## Properties
E_form (uncorrected) = 0.0 eV per formula unit
Magnetic moment = 3.19 μB per cell
Fermi-level density of states = 4.0 states/eV/cell
Space group = No. 123

Cell: 5.5298 5.5298 5.2058 Å, 90.00 90.00 90.00°
Closest atoms and distances in Å follow each position.
Sites, in units of the cell vectors:
Cs (0.5000, 0.5000, 0.5000)  8 Hg 3.80, 4 Sb 3.91
Mn (0.0000, 0.0000, 0.0000)  2 Sb 2.60, 4 Hg 2.76
Hg (0.5000, 0.0000, 0.0000)  2 Mn 2.76
Hg (0.0000, 0.5000, 0.0000)  2 Mn 2.76
Sb (0.0000, 0.0000, 0.5000)  2 Mn 2.60

| no. | V (Å³/atom) | energy (eV/atom) |
| --- | --- | --- |
| 1 | 32.1 | -2.77 |
| 2 | 36.9 | -2.71 |
| 3 | 31.8 | -2.95 |